(1)
## Li2Al2Bi (PBEsol)

Data for a relaxed Li2Al2Bi crystal.

Cell lengths 3.0869, 7.9677, 7.9677 Å; angles 90.00, 90.00, 90.00 degrees
Closest atoms and distances in Å follow each position.
Fractional coordinates of all 10 atoms:
Al1 0.0000 0.8826 0.6174  1 Al 2.64, 6 Li 2.77-2.86
Al2 0.0000 0.3826 0.8826  1 Al 2.64, 6 Li 2.77-2.86
Al3 0.0000 0.1174 0.3826  1 Al 2.64, 6 Li 2.77-2.86
Al4 0.0000 0.6174 0.1174  1 Al 2.64, 6 Li 2.77-2.86
Li1 0.5000 0.1788 0.6788  6 Al 2.77-2.86, 2 Li 3.09
Li2 0.5000 0.6788 0.8212  6 Al 2.77-2.86, 2 Li 3.09
Li3 0.5000 0.3212 0.1788  6 Al 2.77-2.86, 2 Li 3.09
Li4 0.5000 0.8212 0.3212  6 Al 2.77-2.86, 2 Li 3.09
Bi1 0.0000 0.0000 0.0000  2 Bi 3.09, 4 Al 3.19, 8 Li 3.31
Bi2 0.0000 0.5000 0.5000  2 Bi 3.09, 4 Al 3.19, 8 Li 3.31

Values from the calculation:
Its space group is P4/mbm (127). For the formation energy, the calculation gives -0.045 eV/atom. The electronic total energy comes out at -3.33 eV per atom.

=====

(2)
## TlSe2O (PBEsol)

Data for a relaxed TlSe2O crystal.

Cell lengths 5.6303, 5.6303, 7.2785 Å; angles 112.75, 112.75, 90.00 degrees
Closest atoms and distances in Å follow each position.
Fractional coordinates of all 8 atoms:
O1 0.7500 0.2500 0.5000  4 Se 2.07
O2 0.5000 0.5000 0.0000  4 Se 2.07
Se1 0.6250 0.3750 0.2500  2 O 2.07
Se2 0.6250 0.8750 0.2500  2 O 2.07
Se3 0.6250 0.3750 0.7500  2 O 2.07
Se4 0.1250 0.3750 0.7500  2 O 2.07
Tl1 0.2500 0.7500 0.5000  8 Se 3.50
Tl2 0.0000 0.0000 0.0000  8 Se 3.50

Values from the calculation:
Its space group is I4_1/amd (141). For the uncorrected formation energy, the calculation gives -0.08 eV/atom. The electronic total energy comes out at -3.98 eV per atom.

=====

(3)
## ZrTl2Ir (PBEsol)

Data for a relaxed ZrTl2Ir crystal.

Cell lengths 4.2061, 4.2061, 4.4838 Å; angles 90.00, 90.00, 90.00 degrees
Closest atoms and distances in Å follow each position.
Fractional coordinates of all 4 atoms:
Tl1 0.0000 0.5000 0.0000  4 Tl 2.97, 4 Zr 3.07, 4 Ir 3.07
Tl2 0.5000 0.0000 0.0000  4 Tl 2.97, 4 Zr 3.07, 4 Ir 3.07
Zr1 0.5000 0.5000 0.5000  4 Ir 2.97, 8 Tl 3.07
Ir1 0.0000 0.0000 0.5000  4 Zr 2.97, 8 Tl 3.07

Values from the calculation:
Its space group is P4/mmm (123). For the formation energy, the calculation gives 0.074 eV/atom. The electronic total energy comes out at -5.97 eV per atom. The relative energy among the computed polymorphs is 0 meV per atom.

=====

(4)
## LiCdTc2 (PBEsol)

Data for a relaxed LiCdTc2 crystal.

Cell lengths 2.6138, 5.0285, 5.3334 Å; angles 114.27, 97.41, 104.26 degrees
Closest atoms and distances in Å follow each position.
Fractional coordinates of all 4 atoms:
Tc1 0.0000 0.0000 0.5000  4 Tc 2.53-2.61, 2 Li 2.81, 2 Cd 2.81
Tc2 0.5000 0.5000 0.5000  4 Tc 2.53-2.61, 2 Cd 2.81, 2 Li 2.81
Li1 0.5000 0.0000 0.0000  2 Cd 2.53, 2 Li 2.61, 4 Tc 2.81
Cd1 0.0000 0.5000 0.0000  2 Li 2.53, 2 Cd 2.61, 4 Tc 2.81

Values from the calculation:
Its space group is C2/m (12). For the formation energy, the calculation gives 0.372 eV/atom. The electronic total energy comes out at -6.05 eV per atom.

=====

(5)
## TcHgN3 (PBEsol)

Data for a relaxed TcHgN3 crystal.

Cell lengths 4.1003, 4.1003, 4.1003 Å; angles 90.00, 90.00, 90.00 degrees
Closest atoms and distances in Å follow each position.
Fractional coordinates of all 5 atoms:
N1 0.0000 0.5000 0.0000  2 Hg 2.05
N2 0.0000 0.0000 0.5000  2 Hg 2.05
N3 0.5000 0.0000 0.0000  2 Hg 2.05
Hg1 0.0000 0.0000 0.0000  6 N 2.05
Tc1 0.5000 0.5000 0.5000  12 N 2.90

Values from the calculation:
Its space group is Pm-3m (221). For the uncorrected formation energy, the calculation gives 2.84 eV/atom. The electronic total energy comes out at -4.64 eV per atom.

=====

(6)
## Mn3SCl (PBEsol)

Data for a relaxed Mn3SCl crystal.

Cell lengths 4.3833, 4.3833, 4.3833 Å; angles 90.00, 90.00, 90.00 degrees
Closest atoms and distances in Å follow each position.
Fractional coordinates of all 5 atoms:
Mn1 0.0000 0.0000 0.5000  2 Cl 2.19
Mn2 0.0000 0.5000 0.0000  2 Cl 2.19
Mn3 0.5000 0.0000 0.0000  2 Cl 2.19
Cl1 0.0000 0.0000 0.0000  6 Mn 2.19
S1 0.5000 0.5000 0.5000  12 Mn 3.10

Values from the calculation:
Its space group is Pm-3m (221). For the uncorrected formation energy, the calculation gives 0.83 eV/atom. The electronic total energy comes out at -6.31 eV per atom.

=====

(7)
## Be2AgPd2 (PBEsol)

Data for a relaxed Be2AgPd2 crystal.

Cell lengths 2.7747, 6.6221, 6.6221 Å; angles 90.00, 90.00, 90.00 degrees
Closest atoms and distances in Å follow each position.
Fractional coordinates of all 10 atoms:
Pd1 0.5000 0.1585 0.6585  6 Be 2.38-2.41
Pd2 0.5000 0.3415 0.1585  6 Be 2.38-2.41
Pd3 0.5000 0.6585 0.8415  6 Be 2.38-2.41
Pd4 0.5000 0.8415 0.3415  6 Be 2.38-2.41
Be1 0.0000 0.8683 0.6317  6 Pd 2.38-2.41, 1 Be 2.47, 2 Ag 2.59
Be2 0.0000 0.3683 0.8683  6 Pd 2.38-2.41, 1 Be 2.47, 2 Ag 2.59
Be3 0.0000 0.6317 0.1317  6 Pd 2.38-2.41, 1 Be 2.47, 2 Ag 2.59
Be4 0.0000 0.1317 0.3683  6 Pd 2.38-2.41, 1 Be 2.47, 2 Ag 2.59
Ag1 0.0000 0.5000 0.5000  4 Be 2.59, 2 Ag 2.77, 8 Pd 2.85
Ag2 0.0000 0.0000 0.0000  4 Be 2.59, 2 Ag 2.77, 8 Pd 2.85

Values from the calculation:
Its space group is P4/mbm (127). For the formation energy, the calculation gives -0.405 eV/atom. The electronic total energy comes out at -5.05 eV per atom.

=====

(8)
## YMnAs2 (PBEsol)

Data for a relaxed YMnAs2 crystal.

Cell lengths 4.0176, 4.8413, 4.8413 Å; angles 69.66, 65.49, 65.49 degrees
Closest atoms and distances in Å follow each position.
Fractional coordinates of all 4 atoms:
Y1 0.0000 0.5000 0.5000  8 As 2.84-3.11
As1 0.7933 0.2067 0.2067  2 Mn 2.46
As2 0.2067 0.7933 0.7933  2 Mn 2.46
Mn1 0.5000 0.0000 0.0000  4 As 2.46

Values from the calculation:
Its space group is Immm (71). For the formation energy, the calculation gives -0.520 eV/atom. The electronic total energy comes out at -7.22 eV per atom. The relative energy among the computed polymorphs is 5 meV per atom.